(1)
# TbPm6PrHo2

An optimized crystal structure of TbPm6PrHo2 (PBE, the Alexandria database).

Summary:
E_form in eV per atom: 0.117
Calculated total energy in eV for the cell shown: -91.8
Magnetic moment in μB per cell: 0.00

a = 8.9237 Å, b = 8.9237 Å, c = 9.7322 Å
α = 94.11°, β = 94.11°, γ = 117.54°
Closest atoms and distances in Å follow each position.
Sites, in units of the cell vectors:
Tb: 0.0287 0.9713 0.7500  4 Ho 3.42, 4 Pm 3.58-3.68
Tb: 0.9713 0.0287 0.2500  4 Ho 3.42, 4 Pm 3.58-3.68
Pm: 0.0187 0.5672 0.6830  2 Pm 3.26-3.62, 1 Ho 3.49, 1 Pr 3.51, 1 Tb 3.58
Pm: 0.1126 0.7578 0.0553  7 Pm 3.44-3.82, 1 Ho 3.48, 1 Tb 3.68
Pm: 0.2422 0.8874 0.4447  7 Pm 3.44-3.82, 1 Ho 3.48, 1 Tb 3.68
Pm: 0.2943 0.5092 0.8797  3 Pm 3.26-3.44, 3 Ho 3.33-3.49, 2 Pr 3.49-3.60
Pm: 0.4328 0.9813 0.8170  2 Pm 3.26-3.62, 1 Ho 3.49, 1 Pr 3.51, 1 Tb 3.58
Pm: 0.4908 0.7057 0.6203  3 Pm 3.26-3.44, 3 Ho 3.33-3.49, 2 Pr 3.49-3.60
Pm: 0.5092 0.2943 0.3797  3 Pm 3.26-3.44, 3 Ho 3.33-3.49, 2 Pr 3.49-3.60
Pm: 0.5672 0.0187 0.1830  2 Pm 3.26-3.62, 1 Ho 3.49, 1 Pr 3.51, 1 Tb 3.58
Pm: 0.7057 0.4908 0.1203  3 Pm 3.26-3.44, 3 Ho 3.33-3.49, 2 Pr 3.49-3.60
Pm: 0.7578 0.1126 0.5553  7 Pm 3.44-3.82, 1 Ho 3.48, 1 Tb 3.68
Pm: 0.8874 0.2422 0.9447  7 Pm 3.44-3.82, 1 Ho 3.48, 1 Tb 3.68
Pm: 0.9813 0.4328 0.3170  2 Pm 3.26-3.62, 1 Ho 3.49, 1 Pr 3.51, 1 Tb 3.58
Pr: 0.4063 0.5937 0.2500  6 Pm 3.49-3.60, 2 Ho 3.60
Pr: 0.5937 0.4063 0.7500  6 Pm 3.49-3.60, 2 Ho 3.60
Ho: 0.1956 0.2931 0.5459  6 Pm 3.33-3.70, 2 Tb 3.42, 1 Pr 3.60
Ho: 0.2931 0.1956 0.0459  6 Pm 3.33-3.70, 2 Tb 3.42, 1 Pr 3.60
Ho: 0.7069 0.8044 0.9541  6 Pm 3.33-3.70, 2 Tb 3.42, 1 Pr 3.60
Ho: 0.8044 0.7069 0.4541  6 Pm 3.33-3.70, 2 Tb 3.42, 1 Pr 3.60

(2)
# Sc5Te

An optimized crystal structure of Sc5Te (PBE, the Alexandria database).

Summary:
ΔE to the lowest computed polymorph in meV per atom: 32
Formation energy from raw total energies in meV per atom: -308
Calculated total energy in eV for the cell shown: -36.6
Magnetic moment in μB per cell: 0.00

a = 5.6570 Å, b = 5.6570 Å, c = 5.0443 Å
α = 90.00°, β = 90.00°, γ = 120.00°
Closest atoms and distances in Å follow each position.
Sites, in units of the cell vectors:
Sc: 0.0000 0.6827 0.0000  2 Te 3.10, 10 Sc 3.11-3.35
Sc: 0.3173 0.3173 0.0000  2 Te 3.10, 10 Sc 3.11-3.35
Sc: 0.3333 0.6667 0.5000  9 Sc 3.18-3.27, 3 Te 3.27
Sc: 0.6667 0.3333 0.5000  9 Sc 3.18-3.27, 3 Te 3.27
Sc: 0.6827 0.0000 0.0000  2 Te 3.10, 10 Sc 3.11-3.35
Te: 0.0000 0.0000 0.5000  12 Sc 3.10-3.27

(3)
# CoRe2Cl

An optimized crystal structure of CoRe2Cl (PBE, the Alexandria database).

Summary:
ΔE to the lowest computed polymorph in meV per atom: 499
Formation energy from raw total energies in meV per atom: 867
Calculated total energy in eV for the cell shown: -60.8
Magnetic moment in μB per cell: 1.69

a = 2.8306 Å, b = 4.4030 Å, c = 8.7092 Å
α = 90.00°, β = 90.00°, γ = 90.00°
Closest atoms and distances in Å follow each position.
Sites, in units of the cell vectors:
Co: 0.0000 0.0000 0.0000  2 Cl 2.48, 6 Re 2.63-2.69
Co: 0.5000 0.5000 0.5000  2 Cl 2.48, 6 Re 2.63-2.69
Re: 0.0000 0.0000 0.5316  2 Cl 2.49, 4 Co 2.63, 2 Re 2.74
Re: 0.0000 0.5000 0.7625  4 Cl 2.62, 2 Co 2.69, 4 Re 2.74-2.83
Re: 0.5000 0.0000 0.2625  4 Cl 2.62, 2 Co 2.69, 4 Re 2.74-2.83
Re: 0.5000 0.5000 0.0316  2 Cl 2.49, 4 Co 2.63, 2 Re 2.74
Cl: 0.0000 0.5000 0.2663  2 Co 2.48, 6 Re 2.49-2.62
Cl: 0.5000 0.0000 0.7663  2 Co 2.48, 6 Re 2.49-2.62

(4)
# Si3Te

An optimized crystal structure of Si3Te (PBE, the Alexandria database).

Summary:
ΔE to the lowest computed polymorph in meV per atom: 1540
Formation energy from raw total energies in meV per atom: 1818
Calculated total energy in eV for the cell shown: -12.1
Magnetic moment in μB per cell: 0.00

a = 5.3947 Å, b = 5.3947 Å, c = 5.3947 Å
α = 90.00°, β = 90.00°, γ = 90.00°
Closest atoms and distances in Å follow each position.
Sites, in units of the cell vectors:
Si: 0.0000 0.0000 0.5000  2 Te 2.70
Si: 0.0000 0.5000 0.0000  2 Te 2.70
Si: 0.5000 0.0000 0.0000  2 Te 2.70
Te: 0.0000 0.0000 0.0000  6 Si 2.70

(5)
# CeNd4Ir4

An optimized crystal structure of CeNd4Ir4 (PBE, the Alexandria database).

Summary:
E_form in eV per atom: -0.572
Calculated total energy in eV for the cell shown: -131.2
Magnetic moment in μB per cell: 0.00

a = 8.8790 Å, b = 8.8790 Å, c = 5.9594 Å
α = 90.00°, β = 90.00°, γ = 90.00°
Closest atoms and distances in Å follow each position.
Sites, in units of the cell vectors:
Ce: 0.2500 0.2500 0.2500  4 Ir 2.68
Ce: 0.7500 0.7500 0.7500  4 Ir 2.68
Nd: 0.0642 0.6670 0.1425  5 Ir 2.88-3.06
Nd: 0.1670 0.9358 0.6425  5 Ir 2.88-3.06
Nd: 0.3330 0.5642 0.6425  5 Ir 2.88-3.06
Nd: 0.4358 0.8330 0.1425  5 Ir 2.88-3.06
Nd: 0.5642 0.1670 0.8575  5 Ir 2.88-3.06
Nd: 0.6670 0.4358 0.3575  5 Ir 2.88-3.06
Nd: 0.8330 0.0642 0.3575  5 Ir 2.88-3.06
Nd: 0.9358 0.3330 0.8575  5 Ir 2.88-3.06
Ir: 0.0150 0.6270 0.6385  1 Ce 2.68, 1 Ir 2.81, 1 Nd 2.88
Ir: 0.1270 0.9850 0.1385  1 Ce 2.68, 1 Ir 2.81, 1 Nd 2.88
Ir: 0.3730 0.5150 0.1385  1 Ce 2.68, 1 Ir 2.81, 1 Nd 2.88
Ir: 0.4850 0.8730 0.6385  1 Ce 2.68, 1 Ir 2.81, 1 Nd 2.88
Ir: 0.5150 0.1270 0.3615  1 Ce 2.68, 1 Ir 2.81, 1 Nd 2.88
Ir: 0.6270 0.4850 0.8615  1 Ce 2.68, 1 Ir 2.81, 1 Nd 2.88
Ir: 0.8730 0.0150 0.8615  1 Ce 2.68, 1 Ir 2.81, 1 Nd 2.88
Ir: 0.9850 0.3730 0.3615  1 Ce 2.68, 1 Ir 2.81, 1 Nd 2.88

Please write out number 3 again, unchanged.
# CoRe2Cl

An optimized crystal structure of CoRe2Cl (PBE, the Alexandria database).

Summary:
ΔE to the lowest computed polymorph in meV per atom: 499
Formation energy from raw total energies in meV per atom: 867
Calculated total energy in eV for the cell shown: -60.8
Magnetic moment in μB per cell: 1.69

a = 2.8306 Å, b = 4.4030 Å, c = 8.7092 Å
α = 90.00°, β = 90.00°, γ = 90.00°
Closest atoms and distances in Å follow each position.
Sites, in units of the cell vectors:
Co: 0.0000 0.0000 0.0000  2 Cl 2.48, 6 Re 2.63-2.69
Co: 0.5000 0.5000 0.5000  2 Cl 2.48, 6 Re 2.63-2.69
Re: 0.0000 0.0000 0.5316  2 Cl 2.49, 4 Co 2.63, 2 Re 2.74
Re: 0.0000 0.5000 0.7625  4 Cl 2.62, 2 Co 2.69, 4 Re 2.74-2.83
Re: 0.5000 0.0000 0.2625  4 Cl 2.62, 2 Co 2.69, 4 Re 2.74-2.83
Re: 0.5000 0.5000 0.0316  2 Cl 2.49, 4 Co 2.63, 2 Re 2.74
Cl: 0.0000 0.5000 0.2663  2 Co 2.48, 6 Re 2.49-2.62
Cl: 0.5000 0.0000 0.7663  2 Co 2.48, 6 Re 2.49-2.62

Q: Which formula does entry 1 have?
A: TbPm6PrHo2